No. 1
{
  "formula": "Cd3Hg3Bi2",
  "functional": "PBE",
  "state": "optimized geometry",
  "dos_ef_per_ev_cell": 2.83,
  "e_tot_ev_per_atom": -1.37,
  "crystal_system": "hexagonal",
  "spacegroup": "P-62m, No. 189",
  "lattice": [[3.427, 0.000, 0.000], [0.000, 7.440, -4.292], [0.000, -0.002, 8.589]],
  "species": ["Cd", "Cd", "Cd", "Hg", "Hg", "Hg", "Bi", "Bi"],
  "frac_coords": [[0.500, 0.000, 0.356], [0.500, 0.356, 0.000], [0.500, 0.644, 0.644], [0.000, 0.000, 0.781], [0.000, 0.781, 0.000], [0.000, 0.219, 0.219], [0.000, 0.667, 0.333], [0.000, 0.333, 0.667]]
}

=====

No. 2
{
  "formula": "UVSe4",
  "functional": "PBE",
  "state": "optimized geometry",
  "dos_ef_per_ev_cell": 10.53,
  "e_tot_ev_per_atom": -6.62,
  "raw_formation_energy_kcal_per_mol_atoms": -20.58,
  "crystal_system": "monoclinic",
  "spacegroup": "C2/m, No. 12",
  "lattice": [[-3.402, 1.076, 1.498], [-2.960, -4.294, -3.638], [1.287, -9.351, 9.641]],
  "species": ["U", "U", "V", "V", "Se", "Se", "Se", "Se", "Se", "Se", "Se", "Se"],
  "frac_coords": [[0.500, 0.500, 0.500], [0.000, 0.000, 0.000], [0.000, 0.000, 0.500], [0.500, 0.500, 0.000], [0.500, 0.150, 0.389], [0.000, 0.350, 0.111], [0.500, 0.850, 0.611], [0.000, 0.650, 0.889], [0.000, 0.687, 0.382], [0.500, 0.813, 0.118], [0.000, 0.313, 0.618], [0.500, 0.187, 0.882]]
}

=====

No. 3
{
  "formula": "Ca4Ru5",
  "functional": "PBE",
  "state": "optimized geometry",
  "dos_ef_per_ev_cell": 23.89,
  "e_tot_ev_per_atom": -5.34,
  "crystal_system": "hexagonal",
  "spacegroup": "P6_3/mcm, No. 193",
  "lattice": [[8.366, 0.000, 0.000], [-4.183, 7.245, 0.000], [0.000, 0.000, 5.713]],
  "species": ["Ru", "Ru", "Ru", "Ru", "Ru", "Ru", "Ru", "Ru", "Ru", "Ru", "Ca", "Ca", "Ca", "Ca", "Ca", "Ca", "Ca", "Ca"],
  "frac_coords": [[0.000, 0.665, 0.250], [0.335, 0.335, 0.250], [0.665, 0.000, 0.250], [0.000, 0.335, 0.750], [0.665, 0.665, 0.750], [0.335, 0.000, 0.750], [0.667, 0.333, 0.000], [0.333, 0.667, 0.500], [0.333, 0.667, 0.000], [0.667, 0.333, 0.500], [0.000, 0.000, 0.000], [0.000, 0.000, 0.500], [0.000, 0.355, 0.250], [0.645, 0.645, 0.250], [0.355, 0.000, 0.250], [0.000, 0.645, 0.750], [0.355, 0.355, 0.750], [0.645, 0.000, 0.750]]
}

=====

No. 4
{
  "formula": "Ru2PtCl",
  "functional": "PBE",
  "state": "optimized geometry",
  "dos_ef_per_ev_cell": 3.17,
  "e_tot_ev_per_atom": -6.32,
  "raw_formation_energy_kcal_per_mol_atoms": 6.62,
  "crystal_system": "tetragonal",
  "polymorph_energy_ev_per_atom": 0.000,
  "spacegroup": "P4mm, No. 99",
  "lattice": [[2.808, 0.000, 0.000], [0.000, 2.808, 0.000], [0.000, 0.000, 8.371]],
  "species": ["Cl", "Pt", "Ru", "Ru"],
  "frac_coords": [[0.000, 0.000, 0.439], [0.500, 0.500, 0.799], [0.000, 0.000, 0.031], [0.500, 0.500, 0.231]]
}

=====

No. 5
{
  "formula": "K3NaV",
  "functional": "PBE",
  "state": "optimized geometry",
  "dos_ef_per_ev_cell": 6.61,
  "e_tot_ev_per_atom": -1.94,
  "crystal_system": "cubic",
  "polymorph_energy_ev_per_atom": 0.000,
  "spacegroup": "Pm-3m, No. 221",
  "lattice": [[6.717, 0.000, 0.000], [0.000, 6.717, 0.000], [0.000, 0.000, 6.717]],
  "species": ["Na", "K", "K", "K", "V"],
  "frac_coords": [[0.500, 0.500, 0.500], [0.000, 0.500, 0.000], [0.000, 0.000, 0.500], [0.500, 0.000, 0.000], [0.000, 0.000, 0.000]]
}

=====

No. 6
{
  "formula": "ScTiTeAs2",
  "functional": "PBE",
  "state": "optimized geometry",
  "dos_ef_per_ev_cell": 2.95,
  "e_tot_ev_per_atom": -5.31,
  "raw_formation_energy_kcal_per_mol_atoms": 0.59,
  "crystal_system": "tetragonal",
  "spacegroup": "P4/mmm, No. 123",
  "lattice": [[4.713, 0.000, 0.000], [0.000, 5.977, 0.000], [0.000, 0.000, 4.713]],
  "species": ["Sc", "As", "As", "Te", "Ti"],
  "frac_coords": [[0.000, 0.500, 0.000], [0.000, 0.000, 0.500], [0.500, 0.000, 0.000], [0.500, 0.500, 0.500], [0.000, 0.000, 0.000]]
}